# 1
DFT (GGA-PBEsol) results for a relaxed ZnCoP crystal.

Values from the calculation:
formation energy from the elements = -0.521 eV per formula unit
total magnetization = 0.00 μB/f.u.
crystal system = tetragonal

Lattice parameters (Å, degrees): 2.920 2.920 4.728 107.99 107.99 90.00
Element x y z (fractional)
1 Co 0.971 0.971 0.943
2 P 0.364 0.364 0.727
3 Zn 0.665 0.665 0.330

---

# 2
DFT (GGA-PBEsol) results for a relaxed Zr2Co12P7 crystal.

Values from the calculation:
formation energy from the elements = -18.767 eV per formula unit
total magnetization = 4.22 μB/f.u.
crystal system = hexagonal

Lattice parameters (Å, degrees): 3.501 8.800 8.800 120.00 90.00 90.00
Element x y z (fractional)
1 Zr 0.000 0.000 0.000
2 Zr 0.500 0.667 0.333
3 Co 0.000 0.895 0.291
4 Co 0.000 0.396 0.105
5 Co 0.000 0.709 0.604
6 Co 0.500 0.949 0.720
7 Co 0.500 0.771 0.051
8 Co 0.500 0.280 0.229
9 Co 0.000 0.176 0.786
10 Co 0.000 0.610 0.824
11 Co 0.000 0.214 0.390
12 Co 0.500 0.102 0.536
13 Co 0.500 0.433 0.898
14 Co 0.500 0.464 0.567
15 P 0.500 0.218 0.957
16 P 0.500 0.739 0.782
17 P 0.500 0.043 0.261
18 P 0.000 0.333 0.667
19 P 0.000 0.925 0.549
20 P 0.000 0.624 0.075
21 P 0.000 0.451 0.376